A geometry-optimized CaTb6Er12 structure. Source: the Alexandria database, functional PBE.

Space-group type: R-3m, No. 166
VASP energy, Ry per atom: -0.294
Size of the total moment, μB per formula unit: 0.00

POSCAR file:
```
CaTb6Er12
1.0
7.397 4.270 3.482
-7.397 4.270 3.482
0.000 -8.541 3.482
Ca Tb Er
1 6 12
direct
0.000 0.000 0.000 Ca
0.294 0.689 0.689 Tb
0.311 0.311 0.706 Tb
0.311 0.706 0.311 Tb
0.689 0.294 0.689 Tb
0.689 0.689 0.294 Tb
0.706 0.311 0.311 Tb
0.105 0.342 0.342 Er
0.113 0.500 0.887 Er
0.113 0.887 0.500 Er
0.342 0.105 0.342 Er
0.342 0.342 0.105 Er
0.500 0.113 0.887 Er
0.500 0.887 0.113 Er
0.658 0.658 0.895 Er
0.658 0.895 0.658 Er
0.887 0.113 0.500 Er
0.887 0.500 0.113 Er
0.895 0.658 0.658 Er
```